# LaHgIr

LaHgIr after structural relaxation (PBE-GGA, Alexandria via LeMat-Bulk).

Results
Density = 12.09 g/cm³
ΔE_f = -0.3135 eV per atom
Crystal system = hexagonal
Energy = -5.01 eV per atom
Total moment = 0.0 μB/f.u.
DOS(E_F) = 1.6 states/eV/cell

Cell: 4.7306 4.7306 3.7683 Å, 90.00 90.00 120.00°
Fractional positions:
Hg  0.0000  0.0000  0.1670
Ir  0.6667  0.3333  0.1662
La  0.3333  0.6667  0.6668